Material: K2HoScTe4
Method: DFT, GGA-PBE
State: relaxed

Values from the calculation:
* total moment: 0.000 μB/f.u.
* mass density: 4.8 g cm⁻³
* SG: P2/m (10)
* formation energy (no corrections): -1.32 eV per atom
* total DFT energy (no corrections): -4.53 eV per atom

Cell and atoms, written as extended XYZ:
```
8
Lattice="7.6167 0.0000 0.0000 0.0000 4.3974 0.0000 -2.5354 0.0000 8.2154" Properties=species:S:1:pos:R:3 pbc="T T T"
K 0.0000 0.0000 0.0000
K 3.8084 2.1987 0.0000
Ho -1.2677 2.1987 4.1077
Sc 2.5407 0.0000 4.1077
Te 0.0720 0.0000 5.7946
Te 1.3402 2.1987 2.4638
Te 3.7411 2.1987 5.7516
Te 5.0094 0.0000 2.4208
```